[1]
{
  "formula": "MoIrSe",
  "functional": "PBE-GGA",
  "state": "optimized geometry",
  "space_group": "P-6m2, No. 187",
  "e_above_lowest_polymorph_ev_per_atom": 0.215,
  "total_energy_ev_per_atom": -7.48,
  "e_form_raw_ev_per_atom": 0.24,
  "n_ef_per_ev_fu": 2.5,
  "m_tot_mub_per_cell": 0.000,
  "lattice": [[4.2672, 0.0000, 0.0000], [-2.1336, 3.6955, 0.0000], [0.0000, 0.0000, 3.0179]],
  "species": ["Mo", "Ir", "Se"],
  "fractional_positions": [[0.0000, 0.0000, 0.0000], [0.3333, 0.6667, 0.5000], [0.6667, 0.3333, 0.0000]]
}

***

[2]
{
  "formula": "Mo3IrSe",
  "functional": "PBE-GGA",
  "state": "optimized geometry",
  "space_group": "Pm-3m, No. 221",
  "e_above_lowest_polymorph_ev_per_atom": 0.000,
  "total_energy_ev_per_atom": -7.66,
  "e_form_raw_ev_per_atom": 1.31,
  "n_ef_per_ev_fu": 11.5,
  "m_tot_mub_per_cell": 0.000,
  "lattice": [[4.5263, 0.0000, 0.0000], [0.0000, 4.5263, 0.0000], [0.0000, 0.0000, 4.5263]],
  "species": ["Mo", "Mo", "Mo", "Ir", "Se"],
  "fractional_positions": [[0.0000, 0.0000, 0.5000], [0.0000, 0.5000, 0.0000], [0.5000, 0.0000, 0.0000], [0.5000, 0.5000, 0.5000], [0.0000, 0.0000, 0.0000]]
}